1.
DFT (meta-GGA SCAN) results for a crystal of KP2SN relaxed with PBEsol.

The structure belongs to space group P4/mmm (No. 123); the cell edges are 4.041, 4.041 and 5.201 Å and the angles 90.00°, 90.00° and 90.00°. The inequivalent atoms are K at (0.000, 0.000, 0.000), P at (0.000, 0.500, 0.500), S at (0.500, 0.500, 0.000) and N at (0.500, 0.500, 0.500).

For the uncorrected formation energy, the calculation gives 0.874 eV per atom. Its total energy is -0.3210 Ha/atom.

***

2.
DFT (meta-GGA SCAN) results for a crystal of Sc4BeAu relaxed with PBEsol.

The structure belongs to space group F-43m (No. 216); the cell edges are 7.776, 7.776 and 7.776 Å and the angles 90.00°, 90.00° and 90.00°. The inequivalent atoms are Sc at (0.125, 0.125, 0.125), Be at (0.250, 0.250, 0.750) and Au at (0.000, 0.000, 0.500).

The calculation puts the calculated formation energy at 0.40 eV per atom. Its total energy is -0.7842 Ha/atom.

***

3.
DFT (meta-GGA SCAN) results for a crystal of TiSbMo2I relaxed with PBEsol.

The structure belongs to space group P4/mmm (No. 123); the cell edges are 4.768, 4.768 and 4.980 Å and the angles 90.00°, 90.00° and 90.00°. The inequivalent atoms are Ti at (0.000, 0.000, 0.000), Sb at (0.000, 0.000, 0.500), Mo at (0.000, 0.500, 0.000) and I at (0.500, 0.500, 0.500).

For the uncorrected formation energy, the calculation gives 1.460 eV per atom. Its total energy is -1.1209 Ha/atom.